# 1
# ZnCrGe2W

A relaxed structure of ZnCrGe2W (GGA-PBE, the Alexandria database).

a b c (Å): 4.562 4.643 4.562
angles (deg): 90.00 90.00 90.00
Fractional positions:
Cr1 0.000 0.000 0.000
Zn1 0.000 0.500 0.000
Ge1 0.000 0.000 0.500
Ge2 0.500 0.000 0.000
W1 0.500 0.500 0.500

Properties
- DFT formation energy (meV/atom) = 1270
- density of states at the Fermi level (states/eV/cell) = 4.87
- V (Å³ per cell) = 96.6

# 2
# Zr2ZnP

A relaxed structure of Zr2ZnP (GGA-PBE, the Alexandria database).

a b c (Å): 7.014 7.014 7.014
angles (deg): 30.28 30.28 30.28
Fractional positions:
P1 0.500 0.500 0.500
Zr1 0.759 0.759 0.759
Zr2 0.241 0.241 0.241
Zn1 0.000 0.000 0.000

Properties
- DFT formation energy (meV/atom) = -796
- density of states at the Fermi level (states/eV/cell) = 1.91
- V (Å³ per cell) = 77.8

# 3
# Zr4GeP2

A relaxed structure of Zr4GeP2 (GGA-PBE, the Alexandria database).

a b c (Å): 3.758 6.277 12.456
angles (deg): 90.00 90.00 107.42
Fractional positions:
Ge1 0.605 0.210 0.750
Ge2 0.395 0.790 0.250
Zr1 0.772 0.543 0.121
Zr2 0.500 0.000 0.000
Zr3 0.941 0.881 0.750
Zr4 0.059 0.119 0.250
Zr5 0.228 0.457 0.879
Zr6 0.772 0.543 0.379
Zr7 0.500 0.000 0.500
Zr8 0.228 0.457 0.621
P1 0.863 0.726 0.562
P2 0.137 0.274 0.438
P3 0.137 0.274 0.062
P4 0.863 0.726 0.938

Properties
- DFT formation energy (meV/atom) = -1072
- density of states at the Fermi level (states/eV/cell) = 4.59
- V (Å³ per cell) = 280.4

# 4
# Sm4ThIn2

A relaxed structure of Sm4ThIn2 (GGA-PBE, the Alexandria database).

a b c (Å): 5.287 5.287 10.601
angles (deg): 75.56 75.56 60.00
Fractional positions:
Th1 0.500 0.500 0.500
Sm1 0.710 0.710 0.871
Sm2 0.290 0.290 0.129
Sm3 0.116 0.116 0.653
Sm4 0.884 0.884 0.347
In1 0.398 0.398 0.807
In2 0.602 0.602 0.193

Properties
- DFT formation energy (meV/atom) = 86
- density of states at the Fermi level (states/eV/cell) = 10.28
- V (Å³ per cell) = 245.8

# 5
# VIn3Ge

A relaxed structure of VIn3Ge (GGA-PBE, the Alexandria database).

a b c (Å): 5.188 5.188 5.188
angles (deg): 90.00 90.00 90.00
Fractional positions:
In1 0.500 0.000 0.000
In2 0.000 0.500 0.000
In3 0.000 0.000 0.500
Ge1 0.500 0.500 0.500
V1 0.000 0.000 0.000

Properties
- energy relative to the lowest polymorph listed for this composition (meV per atom) = 0.0
- DFT formation energy (meV/atom) = 702
- density of states at the Fermi level (states/eV/cell) = 4.06
- V (Å³ per cell) = 139.6

# 6
# CaAg5

A relaxed structure of CaAg5 (GGA-PBE, the Alexandria database).

a b c (Å): 5.207 5.207 6.171
angles (deg): 74.64 74.64 48.25
Fractional positions:
Ca1 0.306 0.306 0.889
Ag1 0.306 0.306 0.389
Ag2 0.969 0.969 0.074
Ag3 0.631 0.631 0.231
Ag4 0.981 0.981 0.546
Ag5 0.642 0.642 0.703

Properties
- DFT formation energy (meV/atom) = -101
- density of states at the Fermi level (states/eV/cell) = 2.00
- V (Å³ per cell) = 119.5

# 7
# Mn3Tc

A relaxed structure of Mn3Tc (GGA-PBE, the Alexandria database).

a b c (Å): 2.593 8.437 2.593
angles (deg): 98.84 60.00 98.84
Fractional positions:
Mn1 0.504 0.513 0.504
Mn2 0.250 0.750 0.250
Mn3 0.996 0.987 0.996
Tc1 0.750 0.250 0.750

Properties
- DFT formation energy (meV/atom) = 172
- density of states at the Fermi level (states/eV/cell) = 5.80
- V (Å³ per cell) = 48.3

# 8
# SrPb2W

A relaxed structure of SrPb2W (GGA-PBE, the Alexandria database).

a b c (Å): 5.696 5.696 9.899
angles (deg): 73.28 73.28 90.00
Fractional positions:
Pb1 0.875 0.017 0.750
Pb2 0.983 0.625 0.250
Pb3 0.375 0.233 0.750
Pb4 0.767 0.125 0.250
Sr1 0.250 0.750 0.500
Sr2 0.500 0.500 0.000
W1 0.750 0.250 0.500
W2 0.000 0.000 0.000

Properties
- energy relative to the lowest polymorph listed for this composition (meV per atom) = 390.8
- DFT formation energy (meV/atom) = 841
- density of states at the Fermi level (states/eV/cell) = 6.06
- V (Å³ per cell) = 293.4

# 9
# BaScAs2

A relaxed structure of BaScAs2 (GGA-PBE, the Alexandria database).

a b c (Å): 4.278 4.278 7.481
angles (deg): 73.38 73.38 60.05
Fractional positions:
Sc1 0.250 0.250 0.250
As1 0.521 0.521 0.438
As2 0.979 0.979 0.062
Ba1 0.750 0.750 0.750

Properties
- energy relative to the lowest polymorph listed for this composition (meV per atom) = 0.0
- DFT formation energy (meV/atom) = -1032
- density of states at the Fermi level (states/eV/cell) = 2.87
- V (Å³ per cell) = 111.9

# 10
# Ta2OsPt

A relaxed structure of Ta2OsPt (GGA-PBE, the Alexandria database).

a b c (Å): 2.816 2.816 8.464
angles (deg): 90.00 90.00 98.96
Fractional positions:
Ta1 0.000 0.000 0.991
Ta2 0.500 0.500 0.263
Pt1 0.500 0.500 0.743
Os1 0.000 0.000 0.502

Properties
- DFT formation energy (meV/atom) = -93
- density of states at the Fermi level (states/eV/cell) = 3.47
- V (Å³ per cell) = 66.3

# 11
# ReOs3Ru

A relaxed structure of ReOs3Ru (GGA-PBE, the Alexandria database).

a b c (Å): 4.662 4.662 4.662
angles (deg): 90.00 90.00 90.00
Fractional positions:
Os1 0.500 0.000 0.000
Os2 0.000 0.000 0.500
Os3 0.000 0.500 0.000
Ru1 0.500 0.500 0.500
Re1 0.000 0.000 0.000

Properties
- energy relative to the lowest polymorph listed for this composition (meV per atom) = 2364.7
- DFT formation energy (meV/atom) = 2546
- density of states at the Fermi level (states/eV/cell) = 8.86
- V (Å³ per cell) = 101.3

# 12
# GaC3F

A relaxed structure of GaC3F (GGA-PBE, the Alexandria database).

a b c (Å): 4.035 4.035 4.035
angles (deg): 90.00 90.00 90.00
Fractional positions:
C1 0.000 0.000 0.500
C2 0.000 0.500 0.000
C3 0.500 0.000 0.000
Ga1 0.000 0.000 0.000
F1 0.500 0.500 0.500

Properties
- energy relative to the lowest polymorph listed for this composition (meV per atom) = 0.0
- density of states at the Fermi level (states/eV/cell) = 3.20
- V (Å³ per cell) = 65.7
- formation energy (no corrections) (eV/atom) = 2.808

# 13
# Y2Er6Tm3Zr

A relaxed structure of Y2Er6Tm3Zr (GGA-PBE, the Alexandria database).

a b c (Å): 6.028 6.028 11.531
angles (deg): 94.98 94.98 119.90
Fractional positions:
Er1 0.917 0.591 0.753
Er2 0.757 0.757 0.246
Er3 0.083 0.409 0.247
Er4 0.409 0.083 0.247
Er5 0.243 0.243 0.754
Er6 0.591 0.917 0.753
Y1 0.667 0.333 0.000
Y2 0.333 0.667 0.000
Tm1 0.833 0.167 0.500
Tm2 0.500 0.500 0.500
Tm3 0.167 0.833 0.500
Zr1 0.000 0.000 0.000

Properties
- DFT formation energy (meV/atom) = 46
- density of states at the Fermi level (states/eV/cell) = 15.64
- V (Å³ per cell) = 357.8

# 14
# PmYErZr

A relaxed structure of PmYErZr (GGA-PBE, the Alexandria database).

a b c (Å): 5.525 5.525 5.525
angles (deg): 60.00 60.00 60.00
Fractional positions:
Zr1 0.250 0.250 0.250
Pm1 0.500 0.500 0.500
Er1 0.000 0.000 0.000
Y1 0.750 0.750 0.750

Properties
- DFT formation energy (meV/atom) = 221
- density of states at the Fermi level (states/eV/cell) = 7.13
- V (Å³ per cell) = 119.3

# 15
# YMg2Cu

A relaxed structure of YMg2Cu (GGA-PBE, the Alexandria database).

a b c (Å): 4.958 4.958 8.204
angles (deg): 90.00 90.00 120.00
Fractional positions:
Mg1 0.333 0.667 0.935
Mg2 0.667 0.333 0.435
Mg3 0.667 0.333 0.065
Mg4 0.333 0.667 0.565
Cu1 0.667 0.333 0.750
Cu2 0.333 0.667 0.250
Y1 0.000 0.000 0.750
Y2 0.000 0.000 0.250

Properties
- DFT formation energy (meV/atom) = -118
- density of states at the Fermi level (states/eV/cell) = 3.79
- V (Å³ per cell) = 174.6

# 16
# MnTlTe2

A relaxed structure of MnTlTe2 (GGA-PBE, the Alexandria database).

a b c (Å): 6.042 10.224 3.798
angles (deg): 91.29 92.47 105.30
Fractional positions:
Te1 0.197 0.794 0.138
Te2 0.784 0.923 0.570
Te3 0.666 0.548 0.512
Te4 0.980 0.242 0.157
Mn1 0.449 0.723 0.673
Mn2 0.711 0.735 0.060
Tl1 0.133 0.478 0.715
Tl2 0.384 0.117 0.717

Properties
- density of states at the Fermi level (states/eV/cell) = 4.31
- V (Å³ per cell) = 225.9
- formation energy (no corrections) (eV/atom) = 0.009

# 17
# Sm14TmAl

A relaxed structure of Sm14TmAl (GGA-PBE, the Alexandria database).

a b c (Å): 6.935 6.935 11.209
angles (deg): 90.00 90.00 105.54
Fractional positions:
Al1 0.829 0.171 0.000
Sm1 0.614 0.386 0.234
Sm2 0.901 0.675 0.000
Sm3 0.614 0.386 0.766
Sm4 0.384 0.616 0.500
Sm5 0.100 0.313 0.232
Sm6 0.687 0.900 0.232
Sm7 0.180 0.820 0.742
Sm8 0.311 0.112 0.500
Sm9 0.325 0.099 0.000
Sm10 0.687 0.900 0.768
Sm11 0.100 0.313 0.768
Sm12 0.180 0.820 0.258
Sm13 0.888 0.689 0.500
Sm14 0.816 0.184 0.500
Tm1 0.383 0.617 0.000

Properties
- DFT formation energy (meV/atom) = 20
- density of states at the Fermi level (states/eV/cell) = 20.51
- V (Å³ per cell) = 519.3

# 18
# NaNiN

A relaxed structure of NaNiN (GGA-PBE, the Alexandria database).

a b c (Å): 3.371 4.307 5.278
angles (deg): 90.00 95.86 90.00
Fractional positions:
Na1 0.323 0.000 0.687
Na2 0.928 0.000 0.162
N1 0.256 0.500 0.384
N2 0.835 0.500 0.855
Ni1 0.408 0.500 0.064
Ni2 0.769 0.500 0.502

Properties
- energy relative to the lowest polymorph listed for this composition (meV per atom) = 82.4
- density of states at the Fermi level (states/eV/cell) = 3.96
- V (Å³ per cell) = 76.2
- formation energy (no corrections) (eV/atom) = 0.099

# 19
# CeDy5Cd3

A relaxed structure of CeDy5Cd3 (GGA-PBE, the Alexandria database).

a b c (Å): 6.859 9.224 9.224
angles (deg): 120.00 90.00 90.00
Fractional positions:
Dy1 0.750 0.672 0.672
Dy2 0.250 0.328 0.328
Dy3 0.500 0.333 0.667
Dy4 0.250 0.000 0.672
Dy5 0.250 0.672 0.000
Dy6 0.500 0.667 0.333
Dy7 0.000 0.667 0.333
Dy8 0.000 0.333 0.667
Dy9 0.750 0.328 0.000
Dy10 0.750 0.000 0.328
Cd1 0.750 0.000 0.658
Cd2 0.250 0.000 0.342
Cd3 0.250 0.342 0.000
Cd4 0.750 0.342 0.342
Cd5 0.250 0.658 0.658
Cd6 0.750 0.658 0.000
Ce1 0.000 0.000 0.000
Ce2 0.500 0.000 0.000

Properties
- DFT formation energy (meV/atom) = -142
- density of states at the Fermi level (states/eV/cell) = 25.57
- V (Å³ per cell) = 505.4

# 20
# HgSbTe2

A relaxed structure of HgSbTe2 (GGA-PBE, the Alexandria database).

a b c (Å): 12.345 12.345 12.345
angles (deg): 15.69 15.69 15.69
Fractional positions:
Te1 0.249 0.249 0.249
Te2 0.012 0.012 0.012
Sb1 0.745 0.745 0.745
Hg1 0.495 0.495 0.495

Properties
- energy relative to the lowest polymorph listed for this composition (meV per atom) = 335.9
- density of states at the Fermi level (states/eV/cell) = 2.07
- V (Å³ per cell) = 119.9
- formation energy (no corrections) (eV/atom) = 0.256